Entry 1:
# Li3Al3Ag

Li3Al3Ag after structural relaxation (PBE-GGA, the Alexandria database).

Cell: 11.2018 11.2018 11.2018 Å, 26.51 26.51 26.51°
Fractional coordinates of all 14 atoms:
Li 0.0657 0.3929 0.7375
Li 0.2625 0.9343 0.6071
Li 0.3929 0.7375 0.0657
Li 0.6071 0.2625 0.9343
Li 0.7375 0.0657 0.3929
Li 0.9343 0.6071 0.2625
Al 0.1335 0.7993 0.4687
Al 0.2007 0.5313 0.8665
Al 0.4687 0.1335 0.7993
Al 0.5313 0.8665 0.2007
Al 0.7993 0.4687 0.1335
Al 0.8665 0.2007 0.5313
Ag 0.3333 0.3333 0.3333
Ag 0.6667 0.6667 0.6667

Properties
* energy relative to the elements: -1.09 kcal/mol of atoms
* symmetry: No. 148
* uncorrected energy: -2.88 eV per atom

***

Entry 2:
# Pr8Co2Au

Pr8Co2Au after structural relaxation (PBE-GGA, the Alexandria database).

Cell: 7.6745 7.6745 6.4274 Å, 98.78 98.78 114.17°
Fractional coordinates of all 11 atoms:
Pr 0.0000 0.0000 0.0000
Pr 0.0292 0.2975 0.5942
Pr 0.1636 0.6040 0.2104
Pr 0.2975 0.0292 0.5942
Pr 0.4510 0.7308 0.8172
Pr 0.6040 0.1636 0.2104
Pr 0.7308 0.4510 0.8172
Pr 0.7342 0.7342 0.4013
Co 0.0618 0.6852 0.6953
Co 0.6852 0.0618 0.6953
Au 0.3697 0.3697 0.0193

Properties
* energy relative to the elements: -1.33 kcal/mol of atoms
* symmetry: No. 8
* uncorrected energy: -5.12 eV per atom

***

Entry 3:
# Ac5Tm2Sn5

Ac5Tm2Sn5 after structural relaxation (PBE-GGA, the Alexandria database).

Cell: 8.1338 8.1338 13.2865 Å, 108.89 108.89 33.61°
Fractional coordinates of all 12 atoms:
Ac 0.0000 0.0000 0.0000
Ac 0.1613 0.1613 0.5440
Ac 0.2374 0.2374 0.8504
Ac 0.7627 0.7627 0.1496
Ac 0.8387 0.8387 0.4560
Tm 0.4515 0.4515 0.7062
Tm 0.5485 0.5485 0.2938
Sn 0.1778 0.1778 0.2902
Sn 0.3903 0.3903 0.0896
Sn 0.5000 0.5000 0.5000
Sn 0.6097 0.6097 0.9104
Sn 0.8222 0.8222 0.7098

Properties
* energy relative to the elements: -12.11 kcal/mol of atoms
* symmetry: No. 12
* uncorrected energy: -4.65 eV per atom

***

Entry 4:
# Hg3OsAu

Hg3OsAu after structural relaxation (PBE-GGA, the Alexandria database).

Cell: 5.2821 5.2821 5.2821 Å, 90.00 90.00 90.00°
Fractional coordinates of all 5 atoms:
Hg 0.0000 0.0000 0.5000
Hg 0.0000 0.5000 0.0000
Hg 0.5000 0.0000 0.0000
Os 0.5000 0.5000 0.5000
Au 0.0000 0.0000 0.0000

Properties
* energy relative to the elements: 33.26 kcal/mol of atoms
* symmetry: No. 221
* distance to the lowest polymorph of the same formula: 417.4 meV/atom
* uncorrected energy: -1.64 eV per atom

***

Entry 5:
# ErTm3Bi2C

ErTm3Bi2C after structural relaxation (PBE-GGA, the Alexandria database).

Cell: 8.5958 8.5958 8.5958 Å, 147.69 147.51 46.48°
Fractional coordinates of all 7 atoms:
Er 0.0000 0.0000 0.0000
Tm 0.3486 0.8486 0.5000
Tm 0.5000 0.5000 0.0000
Tm 0.6514 0.1514 0.5000
Bi 0.1457 0.6457 0.5000
Bi 0.8543 0.3543 0.5000
C 0.5000 0.0000 0.5000

Properties
* energy relative to the elements: -14.32 kcal/mol of atoms
* symmetry: No. 71
* uncorrected energy: -5.62 eV per atom

***

Entry 6:
# Ca2GePt2

Ca2GePt2 after structural relaxation (PBE-GGA, the Alexandria database).

Cell: 7.0026 7.0026 4.3807 Å, 90.00 90.00 90.00°
Fractional coordinates of all 10 atoms:
Ca 0.1705 0.3295 0.0000
Ca 0.3295 0.8295 0.0000
Ca 0.6705 0.1705 0.0000
Ca 0.8295 0.6705 0.0000
Ge 0.0000 0.0000 0.5000
Ge 0.5000 0.5000 0.5000
Pt 0.1403 0.6403 0.5000
Pt 0.3597 0.1403 0.5000
Pt 0.6403 0.8597 0.5000
Pt 0.8597 0.3597 0.5000

Properties
* energy relative to the elements: -17.24 kcal/mol of atoms
* symmetry: No. 127
* distance to the lowest polymorph of the same formula: 215.4 meV/atom
* uncorrected energy: -4.89 eV per atom

***

Entry 7:
# Cr3CoH2

Cr3CoH2 after structural relaxation (PBE-GGA, the Alexandria database).

Cell: 5.2622 5.2622 8.7225 Å, 122.68 122.68 30.87°
Fractional coordinates of all 12 atoms:
Cr 0.1115 0.1115 0.1973
Cr 0.3652 0.3652 0.5795
Cr 0.3759 0.3759 0.0387
Cr 0.6241 0.6241 0.9613
Cr 0.6348 0.6348 0.4205
Cr 0.8885 0.8885 0.8027
Co 0.1287 0.1287 0.7057
Co 0.8713 0.8713 0.2943
H 0.0669 0.0669 0.4783
H 0.2568 0.2568 0.1375
H 0.7432 0.7432 0.8625
H 0.9331 0.9331 0.5217

Properties
* symmetry: No. 12
* uncorrected energy: -6.94 eV per atom

***

Entry 8:
# Li4HgH2

Li4HgH2 after structural relaxation (PBE-GGA, the Alexandria database).

Cell: 6.4510 6.4510 6.4510 Å, 135.19 135.19 65.23°
Fractional coordinates of all 7 atoms:
Li 0.0000 0.5000 0.5000
Li 0.2484 0.2484 0.0000
Li 0.5000 0.0000 0.5000
Li 0.7516 0.7516 0.0000
Hg 0.5000 0.5000 0.0000
H 0.0896 0.0896 0.0000
H 0.9104 0.9104 0.0000

Properties
* symmetry: No. 139
* uncorrected energy: -1.88 eV per atom

***

Entry 9:
# CaTl2Cl

CaTl2Cl after structural relaxation (PBE-GGA, the Alexandria database).

Cell: 7.8228 7.8228 7.8228 Å, 96.72 96.72 139.99°
Fractional coordinates of all 8 atoms:
Ca 0.0000 0.0000 0.0000
Ca 0.7500 0.2500 0.5000
Tl 0.2026 0.6250 0.0776
Tl 0.3750 0.4526 0.5776
Tl 0.5474 0.1250 0.9224
Tl 0.8750 0.7974 0.4224
Cl 0.2500 0.7500 0.5000
Cl 0.5000 0.5000 0.0000

Properties
* symmetry: No. 122
* distance to the lowest polymorph of the same formula: 323.9 meV/atom
* uncorrected energy: -2.66 eV per atom

***

Entry 10:
# CaGa3Au2

CaGa3Au2 after structural relaxation (PBE-GGA, the Alexandria database).

Cell: 8.3683 8.3683 7.9730 Å, 118.24 118.24 30.15°
Fractional coordinates of all 12 atoms:
Ca 0.1290 0.1290 0.1117
Ca 0.8710 0.8710 0.8883
Ga 0.0205 0.0205 0.3697
Ga 0.3208 0.3208 0.5259
Ga 0.3340 0.3340 0.1434
Ga 0.6660 0.6660 0.8566
Ga 0.6792 0.6792 0.4741
Ga 0.9795 0.9795 0.6303
Au 0.2044 0.2044 0.7098
Au 0.4947 0.4947 0.8166
Au 0.5053 0.5053 0.1834
Au 0.7956 0.7956 0.2902

Properties
* energy relative to the elements: -10.74 kcal/mol of atoms
* symmetry: No. 12
* uncorrected energy: -3.41 eV per atom

***

Entry 11:
# Nd4In2AgHg

Nd4In2AgHg after structural relaxation (PBE-GGA, the Alexandria database).

Cell: 9.4472 9.4472 9.4472 Å, 33.47 33.47 33.47°
Fractional coordinates of all 8 atoms:
Nd 0.1240 0.1240 0.1240
Nd 0.3740 0.3740 0.3740
Nd 0.6260 0.6260 0.6260
Nd 0.8760 0.8760 0.8760
In 0.2500 0.2500 0.2500
In 0.7500 0.7500 0.7500
Ag 0.0000 0.0000 0.0000
Hg 0.5000 0.5000 0.5000

Properties
* energy relative to the elements: -9.63 kcal/mol of atoms
* symmetry: No. 166
* uncorrected energy: -3.88 eV per atom

***

Entry 12:
# Pm4GeTeI2

Pm4GeTeI2 after structural relaxation (PBE-GGA, the Alexandria database).

Cell: 7.7850 4.3993 7.9070 Å, 90.00 108.84 90.00°
Fractional coordinates of all 8 atoms:
Pm 0.2112 0.0000 0.2009
Pm 0.2351 0.5000 0.7917
Pm 0.7649 0.5000 0.2083
Pm 0.7888 0.0000 0.7991
Ge 0.0000 0.5000 0.0000
Te 0.5000 0.0000 0.0000
I 0.0000 0.0000 0.5000
I 0.5000 0.5000 0.5000

Properties
* symmetry: No. 10
* uncorrected energy: -4.81 eV per atom

***

Entry 13:
# MgTc

MgTc after structural relaxation (PBE-GGA, the Alexandria database).

Cell: 2.6914 2.6914 4.5708 Å, 90.00 90.00 105.44°
Fractional coordinates of all 2 atoms:
Mg 0.0000 0.0000 0.0000
Tc 0.5000 0.5000 0.5000

Properties
* energy relative to the elements: 5.54 kcal/mol of atoms
* symmetry: No. 65
* distance to the lowest polymorph of the same formula: 265.0 meV/atom
* uncorrected energy: -5.74 eV per atom

***

Entry 14:
# Li2HoMg2In2

Li2HoMg2In2 after structural relaxation (PBE-GGA, the Alexandria database).

Cell: 8.3487 8.3487 8.3487 Å, 33.68 33.68 33.68°
Fractional coordinates of all 7 atoms:
Li 0.0873 0.0873 0.0873
Li 0.9127 0.9127 0.9127
Ho 0.5000 0.5000 0.5000
Mg 0.3655 0.3655 0.3655
Mg 0.6345 0.6345 0.6345
In 0.2362 0.2362 0.2362
In 0.7638 0.7638 0.7638

Properties
* energy relative to the elements: -5.77 kcal/mol of atoms
* symmetry: No. 166
* uncorrected energy: -2.69 eV per atom

***

Entry 15:
# V4Cr2Ge

V4Cr2Ge after structural relaxation (PBE-GGA, the Alexandria database).

Cell: 5.1185 5.1185 3.8661 Å, 90.00 90.00 107.06°
Fractional coordinates of all 7 atoms:
V 0.0000 0.5000 0.5000
V 0.2145 0.2145 0.0000
V 0.5000 0.0000 0.5000
V 0.7855 0.7855 0.0000
Cr 0.2628 0.7372 0.0000
Cr 0.7372 0.2628 0.0000
Ge 0.5000 0.5000 0.5000

Properties
* energy relative to the elements: 3.21 kcal/mol of atoms
* symmetry: No. 65
* distance to the lowest polymorph of the same formula: 0.0 meV/atom
* uncorrected energy: -8.48 eV per atom

***

Entry 16:
# NdBi2Ru

NdBi2Ru after structural relaxation (PBE-GGA, the Alexandria database).

Cell: 11.0641 11.0641 11.0641 Å, 17.62 17.62 17.62°
Fractional coordinates of all 4 atoms:
Nd 0.0000 0.0000 0.0000
Bi 0.4199 0.4199 0.4199
Bi 0.5801 0.5801 0.5801
Ru 0.5000 0.5000 0.5000

Properties
* energy relative to the elements: 10.17 kcal/mol of atoms
* symmetry: No. 166
* uncorrected energy: -5.01 eV per atom

***

Entry 17:
# Pm3CdPb3

Pm3CdPb3 after structural relaxation (PBE-GGA, the Alexandria database).

Cell: 9.4480 9.4480 6.3582 Å, 90.00 90.00 120.00°
Fractional coordinates of all 14 atoms:
Pm 0.0500 0.6772 0.2500
Pm 0.3228 0.3727 0.2500
Pm 0.3727 0.0500 0.7500
Pm 0.6273 0.9500 0.2500
Pm 0.6772 0.6273 0.7500
Pm 0.9500 0.3228 0.7500
Cd 0.3333 0.6667 0.7500
Cd 0.6667 0.3333 0.2500
Pb 0.0410 0.7051 0.7500
Pb 0.2949 0.3359 0.7500
Pb 0.3359 0.0410 0.2500
Pb 0.6641 0.9590 0.7500
Pb 0.7051 0.6641 0.2500
Pb 0.9590 0.2949 0.2500

Properties
* energy relative to the elements: -6.30 kcal/mol of atoms
* symmetry: No. 176
* distance to the lowest polymorph of the same formula: 194.5 meV/atom
* uncorrected energy: -4.03 eV per atom

***

Entry 18:
# CoBiSe2

CoBiSe2 after structural relaxation (PBE-GGA, the Alexandria database).

Cell: 8.1177 8.1177 8.1177 Å, 25.21 25.21 25.21°
Fractional coordinates of all 4 atoms:
Co 0.0000 0.0000 0.0000
Bi 0.1709 0.1709 0.1709
Se 0.3841 0.3841 0.3841
Se 0.6112 0.6112 0.6112

Properties
* symmetry: No. 160
* distance to the lowest polymorph of the same formula: 93.4 meV/atom
* uncorrected energy: -4.64 eV per atom

***

Entry 19:
# NdZr2Ta

NdZr2Ta after structural relaxation (PBE-GGA, the Alexandria database).

Cell: 11.3290 11.3290 11.3290 Å, 16.16 16.16 16.16°
Fractional coordinates of all 4 atoms:
Nd 0.0000 0.0000 0.0000
Zr 0.0956 0.0956 0.0956
Zr 0.9044 0.9044 0.9044
Ta 0.5000 0.5000 0.5000

Properties
* energy relative to the elements: 7.81 kcal/mol of atoms
* symmetry: No. 166
* distance to the lowest polymorph of the same formula: 164.8 meV/atom
* uncorrected energy: -8.09 eV per atom

***

Entry 20:
# Re2SeCl

Re2SeCl after structural relaxation (PBE-GGA, the Alexandria database).

Cell: 4.3858 4.3858 4.3858 Å, 60.00 60.00 60.00°
Fractional coordinates of all 4 atoms:
Re 0.2500 0.2500 0.2500
Re 0.7500 0.7500 0.7500
Se 0.0000 0.0000 0.0000
Cl 0.5000 0.5000 0.5000

Properties
* symmetry: No. 225
* distance to the lowest polymorph of the same formula: 1157.9 meV/atom
* uncorrected energy: -6.41 eV per atom

***

Entry 21:
# LiSn3Hg

LiSn3Hg after structural relaxation (PBE-GGA, the Alexandria database).

Cell: 7.1584 3.3959 10.4771 Å, 90.00 97.50 90.00°
Fractional coordinates of all 10 atoms:
Li 0.2365 0.2500 0.1896
Li 0.7635 0.7500 0.8104
Sn 0.0759 0.7500 0.6619
Sn 0.1696 0.7500 0.9567
Sn 0.3089 0.7500 0.4395
Sn 0.6911 0.2500 0.5605
Sn 0.8304 0.2500 0.0433
Sn 0.9241 0.2500 0.3381
Hg 0.4528 0.2500 0.8016
Hg 0.5472 0.7500 0.1984

Properties
* energy relative to the elements: -1.99 kcal/mol of atoms
* symmetry: No. 11
* distance to the lowest polymorph of the same formula: 0.0 meV/atom
* uncorrected energy: -2.93 eV per atom

***

Entry 22:
# CaTb3Sm12

CaTb3Sm12 after structural relaxation (PBE-GGA, the Alexandria database).

Cell: 5.1322 5.1322 20.5013 Å, 90.00 90.00 90.00°
Fractional coordinates of all 16 atoms:
Ca 0.0000 0.0000 0.0000
Tb 0.0000 0.0000 0.2513
Tb 0.0000 0.0000 0.5000
Tb 0.0000 0.0000 0.7487
Sm 0.0000 0.5000 0.1297
Sm 0.0000 0.5000 0.3763
Sm 0.0000 0.5000 0.6237
Sm 0.0000 0.5000 0.8703
Sm 0.5000 0.0000 0.1297
Sm 0.5000 0.0000 0.3763
Sm 0.5000 0.0000 0.6237
Sm 0.5000 0.0000 0.8703
Sm 0.5000 0.5000 0.0000
Sm 0.5000 0.5000 0.2508
Sm 0.5000 0.5000 0.5000
Sm 0.5000 0.5000 0.7492

Properties
* energy relative to the elements: 0.76 kcal/mol of atoms
* symmetry: No. 123
* uncorrected energy: -4.50 eV per atom

***

Entry 23:
# Tl2HgPb

Tl2HgPb after structural relaxation (PBE-GGA, the Alexandria database).

Cell: 3.7687 3.7687 8.3919 Å, 90.00 90.00 90.00°
Fractional coordinates of all 4 atoms:
Tl 0.0000 0.0000 0.2349
Tl 0.0000 0.0000 0.7651
Hg 0.5000 0.5000 0.0000
Pb 0.5000 0.5000 0.5000

Properties
* energy relative to the elements: 0.33 kcal/mol of atoms
* symmetry: No. 123
* uncorrected energy: -2.17 eV per atom